No. 1
VASP calculation (PBE-GGA) on Cr2IrAu after structural relaxation.

Properties
polymorph energy (0 for the lowest one): 0.0306 eV per atom
electronic total energy: -7.703 eV/atom
Fermi-level density of states: 1.13 states/eV/atom
ΔE_f: 0.57 eV/f.u.

Cell and atoms, written as POSCAR:
```
Cr2IrAu
1.0
2.836 0.000 0.000
0.000 3.664 0.000
0.000 0.000 5.681
Cr Ir Au
2 1 1
direct
0.000 0.000 0.000
0.500 0.500 0.244
0.000 0.000 0.442
0.500 0.500 0.741
```

***

No. 2
VASP calculation (PBE-GGA) on Th5Co2Sb after structural relaxation.

Properties
electronic total energy: -7.277 eV/atom
Fermi-level density of states: 1.19 states/eV/atom
E_form (uncorrected): -0.35 eV per atom

Cell and atoms, written as POSCAR:
```
Th5Co2Sb
1.0
-3.807 3.807 7.179
3.807 -3.807 7.179
3.807 3.807 -7.179
Th Co Sb
10 4 2
direct
0.000 0.000 0.000
0.017 0.517 0.807
0.211 0.017 0.500
0.289 0.789 0.807
0.483 0.289 0.500
0.500 0.500 0.000
0.517 0.711 0.500
0.711 0.211 0.193
0.789 0.983 0.500
0.983 0.483 0.193
0.150 0.350 0.500
0.350 0.850 0.200
0.650 0.150 0.800
0.850 0.650 0.500
0.250 0.250 0.000
0.750 0.750 0.000
```

***

No. 3
VASP calculation (PBE-GGA) on PrY12Ho3 after structural relaxation.

Properties
electronic total energy: -5.981 eV/atom
Fermi-level density of states: 1.41 states/eV/atom
ΔE_f: 0.39 eV/f.u.

Cell and atoms, written as POSCAR:
```
PrY12Ho3
1.0
5.051 0.000 0.000
0.000 5.051 0.000
0.000 0.000 20.212
Pr Y Ho
1 12 3
direct
0.000 0.000 0.000
0.000 0.500 0.127
0.000 0.500 0.376
0.000 0.500 0.624
0.000 0.500 0.873
0.500 0.000 0.127
0.500 0.000 0.376
0.500 0.000 0.624
0.500 0.000 0.873
0.500 0.500 0.000
0.500 0.500 0.252
0.500 0.500 0.500
0.500 0.500 0.748
0.000 0.000 0.251
0.000 0.000 0.500
0.000 0.000 0.749
```

***

No. 4
VASP calculation (PBE-GGA) on BaAg2Cl6 after structural relaxation.

Properties
polymorph energy (0 for the lowest one): 0.0643 eV per atom
electronic total energy: -3.066 eV/atom
Fermi-level density of states: 1.15 states/eV/atom
E_form (uncorrected): -0.99 eV per atom

Cell and atoms, written as POSCAR:
```
BaAg2Cl6
1.0
6.862 0.000 0.000
-3.431 5.942 0.000
0.000 0.000 6.569
Ba Ag Cl
1 2 6
direct
0.000 0.000 0.000
0.333 0.667 0.500
0.667 0.333 0.500
0.000 0.374 0.726
0.000 0.626 0.274
0.374 0.000 0.726
0.374 0.374 0.274
0.626 0.000 0.274
0.626 0.626 0.726
```

***

No. 5
VASP calculation (PBE-GGA) on CsRb2CrS4 after structural relaxation.

Properties
electronic total energy: -4.539 eV/atom
Fermi-level density of states: 0.72 states/eV/atom
E_form (uncorrected): -0.92 eV per atom

Cell and atoms, written as POSCAR:
```
CsRb2CrS4
1.0
-4.072 4.072 4.378
4.072 -4.072 4.378
4.072 4.072 -4.378
Cs Rb Cr S
1 2 1 4
direct
0.000 0.000 0.000
0.250 0.750 0.500
0.750 0.250 0.500
0.500 0.500 0.000
0.209 0.209 0.693
0.484 0.791 0.000
0.516 0.516 0.307
0.791 0.484 0.000
```

***

No. 6
VASP calculation (PBE-GGA) on YCrPt2 after structural relaxation.

Properties
polymorph energy (0 for the lowest one): 0.2136 eV per atom
electronic total energy: -7.480 eV/atom
Fermi-level density of states: 0.67 states/eV/atom
ΔE_f: -1.75 eV/f.u.

Cell and atoms, written as POSCAR:
```
YCrPt2
1.0
3.580 0.000 0.000
0.000 3.591 0.000
0.000 0.000 5.912
Y Cr Pt
1 1 2
direct
0.000 0.000 0.000
0.500 0.500 0.344
0.000 0.000 0.481
0.500 0.500 0.782
```

***

No. 7
VASP calculation (PBE-GGA) on In2Au after structural relaxation.

Properties
electronic total energy: -2.957 eV/atom
Fermi-level density of states: 0.37 states/eV/atom
ΔE_f: -0.12 eV/f.u.

Cell and atoms, written as POSCAR:
```
In2Au
1.0
-2.218 2.218 14.014
2.218 -2.218 14.014
2.218 2.218 -14.014
In Au
8 4
direct
0.038 0.788 0.250
0.124 0.374 0.750
0.212 0.962 0.250
0.374 0.124 0.250
0.626 0.876 0.750
0.788 0.038 0.750
0.876 0.626 0.250
0.962 0.212 0.750
0.291 0.541 0.750
0.459 0.709 0.750
0.541 0.291 0.250
0.709 0.459 0.250
```

***

No. 8
VASP calculation (PBE-GGA) on Np3Te12As5 after structural relaxation.

Properties
electronic total energy: -5.123 eV/atom
Fermi-level density of states: 1.29 states/eV/atom
E_form (uncorrected): -0.13 eV per atom

Cell and atoms, written as POSCAR:
```
Np3Te12As5
1.0
-8.758 8.758 8.758
8.758 -8.758 8.758
8.758 8.758 -8.758
Np Te As
12 48 20
direct
0.125 0.250 0.375
0.125 0.375 0.750
0.250 0.375 0.125
0.250 0.875 0.625
0.375 0.125 0.250
0.375 0.750 0.125
0.625 0.250 0.875
0.625 0.875 0.750
0.750 0.125 0.375
0.750 0.625 0.875
0.875 0.625 0.250
0.875 0.750 0.625
0.045 0.215 0.133
0.045 0.330 0.913
0.083 0.715 0.670
0.083 0.867 0.413
0.087 0.633 0.417
0.087 0.955 0.670
0.133 0.045 0.215
0.133 0.587 0.917
0.170 0.215 0.583
0.170 0.455 0.587
0.215 0.133 0.045
0.215 0.583 0.170
0.285 0.330 0.917
0.285 0.455 0.367
0.330 0.913 0.045
0.330 0.917 0.285
0.367 0.285 0.455
0.367 0.583 0.913
0.413 0.083 0.867
0.413 0.830 0.545
0.417 0.087 0.633
0.417 0.830 0.785
0.455 0.367 0.285
0.455 0.587 0.170
0.545 0.413 0.830
0.545 0.633 0.715
0.583 0.170 0.215
0.583 0.913 0.367
0.587 0.170 0.455
0.587 0.917 0.133
0.633 0.417 0.087
0.633 0.715 0.545
0.670 0.083 0.715
0.670 0.087 0.955
0.715 0.545 0.633
0.715 0.670 0.083
0.785 0.417 0.830
0.785 0.867 0.955
0.830 0.545 0.413
0.830 0.785 0.417
0.867 0.413 0.083
0.867 0.955 0.785
0.913 0.045 0.330
0.913 0.367 0.583
0.917 0.133 0.587
0.917 0.285 0.330
0.955 0.670 0.087
0.955 0.785 0.867
0.000 0.000 0.000
0.000 0.000 0.500
0.000 0.500 0.000
0.000 0.500 0.500
0.125 0.750 0.875
0.125 0.875 0.250
0.250 0.125 0.875
0.250 0.625 0.375
0.375 0.250 0.625
0.375 0.625 0.750
0.500 0.000 0.000
0.500 0.000 0.500
0.500 0.500 0.000
0.500 0.500 0.500
0.625 0.375 0.250
0.625 0.750 0.375
0.750 0.375 0.625
0.750 0.875 0.125
0.875 0.125 0.750
0.875 0.250 0.125
```